1.
The following is a DFT calculation (SCAN) of a crystal of Li3GdO3 relaxed with PBEsol.

Unit cell a=5.8191 b=5.8191 c=10.6505 alpha=90.00 beta=90.00 gamma=120.00
Last column: nearest neighbours and their distance in Å.
Element x y z (fractional)
Li 0.0563 0.6868 0.5630  4 O 1.95-2.13
Li 0.9437 0.6305 0.0630  4 O 1.95-2.13
Li 0.3695 0.3132 0.0630  4 O 1.95-2.13
Li 0.0563 0.3695 0.9370  4 O 1.95-2.13
Li 0.3132 0.3695 0.5630  4 O 1.95-2.13
Li 0.9437 0.3132 0.4370  4 O 1.95-2.13
Li 0.3695 0.0563 0.4370  4 O 1.95-2.13
Li 0.6305 0.9437 0.5630  4 O 1.95-2.13
Li 0.6868 0.0563 0.0630  4 O 1.95-2.13
Li 0.3132 0.9437 0.9370  4 O 1.95-2.13
Li 0.6305 0.6868 0.9370  4 O 1.95-2.13
Li 0.6868 0.6305 0.4370  4 O 1.95-2.13
Gd 0.3333 0.6667 0.2500  6 O 2.30
Gd 0.6667 0.3333 0.7500  6 O 2.30
Gd 0.0000 0.0000 0.7500  6 O 2.32
Gd 0.0000 0.0000 0.2500  6 O 2.32
O 0.0395 0.7033 0.3808  4 Li 1.95-2.13
O 0.9605 0.6638 0.8808  4 Li 1.95-2.13
O 0.0395 0.3362 0.1192  4 Li 1.95-2.13
O 0.9605 0.2967 0.6192  4 Li 1.95-2.13
O 0.2967 0.3362 0.3808  4 Li 1.95-2.13
O 0.3362 0.2967 0.8808  4 Li 1.95-2.13
O 0.7033 0.0395 0.8808  4 Li 1.95-2.13
O 0.3362 0.0395 0.6192  4 Li 1.95-2.13
O 0.6638 0.9605 0.3808  4 Li 1.95-2.13
O 0.2967 0.9605 0.1192  4 Li 1.95-2.13
O 0.6638 0.7033 0.1192  4 Li 1.95-2.13
O 0.7033 0.6638 0.6192  4 Li 1.95-2.13

Output
The electronic total energy is -14.669 eV/atom. The size of the total moment comes out at 7.00 μB/f.u. The calculation puts the formation energy without anion corrections at -2.572 eV/atom.


2.
The following is a DFT calculation (SCAN) of a crystal of Mg2CrWO6 relaxed with PBEsol.

Unit cell a=5.1081 b=5.1081 c=5.4482 alpha=62.04 beta=62.04 gamma=60.00
Last column: nearest neighbours and their distance in Å.
Element x y z (fractional)
Mg 0.2905 0.2905 0.1284  6 O 2.02-2.20
Mg 0.7913 0.7913 0.6261  6 O 2.03-2.17
Cr 0.4985 0.4985 0.5046  6 O 1.98-2.06
W 0.9971 0.9971 0.0087  6 O 1.93-2.00
O 0.3718 0.1098 0.7931  1 W 1.93, 1 Mg 2.03, 1 Cr 2.06
O 0.1098 0.7254 0.7931  1 W 1.93, 1 Mg 2.03, 1 Cr 2.06
O 0.7254 0.3718 0.7931  1 W 1.93, 1 Mg 2.03, 1 Cr 2.06
O 0.6157 0.8816 0.2891  1 Cr 1.98, 1 W 2.00, 2 Mg 2.02-2.17
O 0.2136 0.6157 0.2891  1 Cr 1.98, 1 W 2.00, 2 Mg 2.02-2.17
O 0.8816 0.2136 0.2891  1 Cr 1.98, 1 W 2.00, 2 Mg 2.02-2.17

Output
The electronic total energy is -16.099 eV/atom. The size of the total moment comes out at 4.00 μB/f.u. The calculation puts the formation energy without anion corrections at -2.558 eV/atom.


3.
The following is a DFT calculation (SCAN) of a crystal of YCrTc2 relaxed with PBEsol.

Unit cell a=4.4327 b=4.4327 c=4.4327 alpha=60.00 beta=60.00 gamma=60.00
Last column: nearest neighbours and their distance in Å.
Element x y z (fractional)
Cr 0.5000 0.5000 0.5000  4 Tc 2.71, 4 Y 2.71
Tc 0.0000 0.0000 0.0000  4 Tc 2.71, 4 Y 2.71
Tc 0.7500 0.7500 0.7500  4 Cr 2.71, 4 Tc 2.71
Y 0.2500 0.2500 0.2500  4 Tc 2.71, 4 Cr 2.71

Output
The formation energy comes out at 262 meV/atom. The electronic total energy is -28.824 eV/atom. The size of the total moment comes out at 0.91 μB/f.u.


Q: electronic total energy of number 2 (Mg2CrWO6)?
A: -16.099 eV/atom


Q: The lowest electronic total energy belongs to which entry?
A: YCrTc2